Entry 1:
A plane-wave DFT calculation with PBEsol was carried out for a geometry-optimized MgHPt3 structure.

Calculated values
calculated total energy = -5.606 eV per atom
mass density = 16.07 Mg/m³

Lattice parameters (Å, degrees): 3.9812 3.9812 3.9812 90.00 90.00 90.00
Space group Pm-3m (No. 221)
Asymmetric unit:
Mg (0.0000, 0.0000, 0.0000)
H (0.5000, 0.5000, 0.5000)
Pt (0.0000, 0.5000, 0.5000)

***

Entry 2:
A plane-wave DFT calculation with PBEsol was carried out for a geometry-optimized KFeCo structure.

Calculated values
calculated total energy = -3.480 eV per atom
mass density = 4.01 Mg/m³

Lattice parameters (Å, degrees): 6.3400 6.3400 6.3400 90.00 90.00 90.00
Space group F-43m (No. 216)
Asymmetric unit:
K (0.0000, 0.0000, 0.0000)
Fe (0.2500, 0.2500, 0.2500)
Co (0.2500, 0.2500, 0.7500)

***

Entry 3:
A plane-wave DFT calculation with PBEsol was carried out for a geometry-optimized TcRh2 structure.

Calculated values
calculated total energy = -9.305 eV per atom
mass density = 12.39 Mg/m³

Lattice parameters (Å, degrees): 2.6791 2.6791 11.3466 90.00 90.00 90.00
Space group I4/mmm (No. 139)
Asymmetric unit:
Tc (0.0000, 0.0000, 0.0000)
Rh (0.0000, 0.0000, 0.3374)

***

Entry 4:
A plane-wave DFT calculation with PBEsol was carried out for a geometry-optimized Nd2MgS4 structure.

Calculated values
calculated total energy = -6.029 eV per atom
mass density = 4.00 Mg/m³

Lattice parameters (Å, degrees): 11.3600 11.3600 11.3600 90.00 90.00 90.00
Space group Fd-3m (No. 227, origin choice 2)
Asymmetric unit:
Nd (0.0000, 0.0000, 0.0000)
Mg (0.1250, 0.1250, 0.6250)
S (0.0027, 0.0027, 0.2473)

***

Entry 5:
A plane-wave DFT calculation with PBEsol was carried out for a geometry-optimized BaLi2In2 structure.

Calculated values
calculated total energy = -2.729 eV per atom
mass density = 4.70 Mg/m³

Lattice parameters (Å, degrees): 5.1514 5.1514 10.1400 90.00 90.00 90.00
Space group I4/mmm (No. 139)
Asymmetric unit:
Ba (0.0000, 0.0000, 0.0000)
Li (0.0000, 0.5000, 0.2500)
In (0.0000, 0.0000, 0.3625)

***

Entry 6:
A plane-wave DFT calculation with PBEsol was carried out for a geometry-optimized Be2InAs structure.

Calculated values
calculated total energy = -3.740 eV per atom
mass density = 5.47 Mg/m³

Lattice parameters (Å, degrees): 3.3798 3.4185 10.9135 90.00 90.00 90.00
Space group Imm2 (No. 44)
Asymmetric unit:
Be (0.0000, 0.0000, 0.0000)
Be (0.0000, 0.5000, 0.1402)
In (0.0000, 0.5000, 0.7692)
As (0.0000, 0.0000, 0.4989)